Arrangement 1

# PBE BeTc3Te, optimized geometry
data_BeTc3Te
_chemical_formula_sum 'Be1 Tc3 Te1'
_symmetry_space_group_name_H-M 'P m -3 m'
_symmetry_Int_Tables_number 221
_symmetry_space_group_name_Hall '-P 4 2 3'
_cell_length_a 4.804
_cell_length_b 4.804
_cell_length_c 4.804
_cell_angle_alpha 90.00
_cell_angle_beta 90.00
_cell_angle_gamma 90.00
loop_
_atom_site_label
_atom_site_fract_x
_atom_site_fract_y
_atom_site_fract_z
Be1 0.000 0.000 0.000
Tc1 0.000 0.500 0.500
Te1 0.500 0.500 0.500
# Calculated density: 6451 kg/m3
# Spin magnetization: 2.36 μB per formula unit

=====

Arrangement 2

# PBE BeTc3Te, optimized geometry
data_BeTc3Te
_chemical_formula_sum 'Be1 Tc3 Te1'
_symmetry_space_group_name_H-M 'P m -3 m'
_symmetry_Int_Tables_number 221
_symmetry_space_group_name_Hall '-P 4 2 3'
_cell_length_a 4.244
_cell_length_b 4.244
_cell_length_c 4.244
_cell_angle_alpha 90.00
_cell_angle_beta 90.00
_cell_angle_gamma 90.00
loop_
_atom_site_label
_atom_site_fract_x
_atom_site_fract_y
_atom_site_fract_z
Be1 0.000 0.000 0.000
Tc1 0.000 0.000 0.500
Te1 0.500 0.500 0.500
# Calculated density: 9352 kg/m3
# Spin magnetization: 2.16 μB per formula unit

=====

The winner here is arrangement 2, beating the second structure by 1371 meV/atom.

=====

Arrangement 1

# PBE ThBeTc, optimized geometry
data_ThBeTc
_chemical_formula_sum 'Th4 Be4 Tc4'
_symmetry_space_group_name_H-M 'C m c m'
_symmetry_Int_Tables_number 63
_symmetry_space_group_name_Hall '-C 2c 2'
_cell_length_a 4.963
_cell_length_b 13.406
_cell_length_c 3.204
_cell_angle_alpha 90.00
_cell_angle_beta 90.00
_cell_angle_gamma 90.00
loop_
_atom_site_label
_atom_site_fract_x
_atom_site_fract_y
_atom_site_fract_z
Th1 0.000 0.104 0.250
Be1 0.000 0.437 0.250
Tc1 0.000 0.284 0.750
# Calculated density: 10566 kg/m3
# Spin magnetization: 0.00 μB per formula unit

=====

Arrangement 2

# PBE ThBeTc, optimized geometry
data_ThBeTc
_chemical_formula_sum 'Th1 Be1 Tc1'
_symmetry_space_group_name_H-M 'P -6 m 2'
_symmetry_Int_Tables_number 187
_symmetry_space_group_name_Hall 'P -6 2'
_cell_length_a 4.1037
_cell_length_b 4.1037
_cell_length_c 3.9108
_cell_angle_alpha 90.00
_cell_angle_beta 90.00
_cell_angle_gamma 120.00
loop_
_atom_site_label
_atom_site_fract_x
_atom_site_fract_y
_atom_site_fract_z
Th1 0.0000 0.0000 0.0000
Be1 0.3333 0.6667 0.5000
Tc1 0.6667 0.3333 0.5000
# Calculated density: 9871 kg/m3
# Spin magnetization: 0.00 μB per formula unit

=====

The winner here is arrangement 2, beating the second structure by 348 meV/atom.

=====

Arrangement 1

# PBE TiBe9Tc2, optimized geometry
data_TiBe9Tc2
_chemical_formula_sum 'Ti2 Be18 Tc4'
_symmetry_space_group_name_H-M 'P 63/m m c'
_symmetry_Int_Tables_number 194
_symmetry_space_group_name_Hall '-P 6c 2c'
_cell_length_a 4.3591
_cell_length_b 4.3591
_cell_length_c 13.9155
_cell_angle_alpha 90.00
_cell_angle_beta 90.00
_cell_angle_gamma 120.00
loop_
_atom_site_label
_atom_site_fract_x
_atom_site_fract_y
_atom_site_fract_z
Ti1 0.3333 0.6667 0.2500
Be1 0.0000 0.0000 0.0000
Be2 0.0000 0.0000 0.2500
Be3 0.1691 0.3382 0.6243
Be4 0.3333 0.6667 0.7500
Tc1 0.3333 0.6667 0.0340
# Calculated density: 4713 kg/m3
# Spin magnetization: 0.00 μB per formula unit

=====

Arrangement 2

# PBE TiBe9Tc2, optimized geometry
data_TiBe9Tc2
_chemical_formula_sum 'Ti3 Be27 Tc6'
_symmetry_space_group_name_H-M 'R -3 m'
_symmetry_Int_Tables_number 166
_symmetry_space_group_name_Hall '-R 3 2"'
_cell_length_a 4.3657
_cell_length_b 4.3657
_cell_length_c 20.8323
_cell_angle_alpha 90.00
_cell_angle_beta 90.00
_cell_angle_gamma 120.00
loop_
_atom_site_label
_atom_site_fract_x
_atom_site_fract_y
_atom_site_fract_z
Ti1 0.0000 0.0000 0.0000
Be1 0.0000 0.0000 0.3333
Be2 0.0000 0.0000 0.5000
Be3 0.0039 0.5019 0.9164
Tc1 0.0000 0.0000 0.1443
# Calculated density: 4708 kg/m3
# Spin magnetization: 0.01 μB per formula unit

=====

The winner here is arrangement 1, beating the second structure by 5 meV/atom.

=====

Arrangement 1

# PBE Ti4BeTc, optimized geometry
data_Ti4BeTc
_chemical_formula_sum 'Ti4 Be1 Tc1'
_symmetry_space_group_name_H-M 'P 4/m m m'
_symmetry_Int_Tables_number 123
_symmetry_space_group_name_Hall '-P 4 2'
_cell_length_a 3.071
_cell_length_b 3.071
_cell_length_c 9.634
_cell_angle_alpha 90.00
_cell_angle_beta 90.00
_cell_angle_gamma 90.00
loop_
_atom_site_label
_atom_site_fract_x
_atom_site_fract_y
_atom_site_fract_z
Ti1 0.000 0.000 0.152
Ti2 0.500 0.500 0.343
Be1 0.500 0.500 0.000
Tc1 0.000 0.000 0.500
# Calculated density: 5456 kg/m3
# Spin magnetization: 0.00 μB per formula unit

=====

Arrangement 2

# PBE Ti4BeTc, optimized geometry
data_Ti4BeTc
_chemical_formula_sum 'Ti8 Be2 Tc2'
_symmetry_space_group_name_H-M 'C 1 2/m 1'
_symmetry_Int_Tables_number 12
_symmetry_space_group_name_Hall '-C 2y'
_cell_length_a 7.332
_cell_length_b 4.217
_cell_length_c 7.096
_cell_angle_alpha 90.00
_cell_angle_beta 110.01
_cell_angle_gamma 90.00
loop_
_atom_site_label
_atom_site_fract_x
_atom_site_fract_y
_atom_site_fract_z
Ti1 0.124 0.000 0.371
Ti2 0.129 0.500 0.886
Be1 0.000 0.000 0.000
Tc1 0.000 0.500 0.500
# Calculated density: 4808 kg/m3
# Spin magnetization: 1.15 μB per formula unit

=====

The winner here is arrangement 1, beating the second structure by 409 meV/atom.

=====

Arrangement 1

# PBE TiBe3Tc, optimized geometry
data_TiBe3Tc
_chemical_formula_sum 'Ti1 Be3 Tc1'
_symmetry_space_group_name_H-M 'P m -3 m'
_symmetry_Int_Tables_number 221
_symmetry_space_group_name_Hall '-P 4 2 3'
_cell_length_a 4.073
_cell_length_b 4.073
_cell_length_c 4.073
_cell_angle_alpha 90.00
_cell_angle_beta 90.00
_cell_angle_gamma 90.00
loop_
_atom_site_label
_atom_site_fract_x
_atom_site_fract_y
_atom_site_fract_z
Ti1 0.000 0.000 0.000
Be1 0.000 0.000 0.500
Tc1 0.500 0.500 0.500
# Calculated density: 4250 kg/m3
# Spin magnetization: 0.00 μB per formula unit

=====

Arrangement 2

# PBE TiBe3Tc, optimized geometry
data_TiBe3Tc
_chemical_formula_sum 'Ti1 Be3 Tc1'
_symmetry_space_group_name_H-M 'P m -3 m'
_symmetry_Int_Tables_number 221
_symmetry_space_group_name_Hall '-P 4 2 3'
_cell_length_a 4.099
_cell_length_b 4.099
_cell_length_c 4.099
_cell_angle_alpha 90.00
_cell_angle_beta 90.00
_cell_angle_gamma 90.00
loop_
_atom_site_label
_atom_site_fract_x
_atom_site_fract_y
_atom_site_fract_z
Ti1 0.000 0.000 0.000
Be1 0.000 0.500 0.500
Tc1 0.500 0.500 0.500
# Calculated density: 4169 kg/m3
# Spin magnetization: 0.00 μB per formula unit

=====

The winner here is arrangement 2, beating the second structure by 1202 meV/atom.

=====

Arrangement 1

# PBE Be2TlTc, optimized geometry
data_Be2TlTc
_chemical_formula_sum 'Be4 Tl2 Tc2'
_symmetry_space_group_name_H-M 'I m m m'
_symmetry_Int_Tables_number 71
_symmetry_space_group_name_Hall '-I 2 2'
_cell_length_a 3.431
_cell_length_b 4.212
_cell_length_c 7.814
_cell_angle_alpha 90.00
_cell_angle_beta 90.00
_cell_angle_gamma 90.00
loop_
_atom_site_label
_atom_site_fract_x
_atom_site_fract_y
_atom_site_fract_z
Be1 0.000 0.000 0.234
Tl1 0.000 0.500 0.000
Tc1 0.000 0.500 0.500
# Calculated density: 9424 kg/m3
# Spin magnetization: 0.00 μB per formula unit

=====

Arrangement 2

# PBE Be2TlTc, optimized geometry
data_Be2TlTc
_chemical_formula_sum 'Be2 Tl1 Tc1'
_symmetry_space_group_name_H-M 'P 4 m m'
_symmetry_Int_Tables_number 99
_symmetry_space_group_name_Hall 'P 4 -2'
_cell_length_a 3.007
_cell_length_b 3.007
_cell_length_c 6.307
_cell_angle_alpha 90.00
_cell_angle_beta 90.00
_cell_angle_gamma 90.00
loop_
_atom_site_label
_atom_site_fract_x
_atom_site_fract_y
_atom_site_fract_z
Be1 0.000 0.000 0.000
Be2 0.500 0.500 0.174
Tl1 0.500 0.500 0.688
Tc1 0.000 0.000 0.353
# Calculated density: 9330 kg/m3
# Spin magnetization: 0.00 μB per formula unit

=====

The winner here is arrangement 2, beating the second structure by 108 meV/atom.